Record 1
# MgW2Se | Alexandria via LeMat-Bulk | PBE-GGA | relaxed
data_MgW2Se
_chemical_formula_sum 'Mg1 W2 Se1'
_cell_length_a 2.889
_cell_length_b 4.745
_cell_length_c 5.048
_cell_angle_alpha 90.00
_cell_angle_beta 91.17
_cell_angle_gamma 90.00
_symmetry_space_group_name_H-M 'P 1 2/m 1'
_symmetry_Int_Tables_number 10
loop_
_symmetry_equiv_pos_as_xyz
'x,y,z'
'-x,-y,-z'
'-x,y,-z'
'x,-y,z'
loop_
_atom_site_label
_atom_site_type_symbol
_atom_site_fract_x
_atom_site_fract_y
_atom_site_fract_z
Mg1 Mg 0.000 0.000 0.000
W1 W 0.369 0.500 0.757
Se1 Se 0.500 0.000 0.500
# **E above lowest polymorph**: 374 meV per atom
# **Formation energy (no corrections)**: 0.559 eV per atom

Record 2
# MgW2Se | Alexandria via LeMat-Bulk | PBE-GGA | relaxed
data_MgW2Se
_chemical_formula_sum 'Mg1 W2 Se1'
_cell_length_a 2.933
_cell_length_b 4.426
_cell_length_c 5.281
_cell_angle_alpha 90.00
_cell_angle_beta 90.00
_cell_angle_gamma 90.00
_symmetry_space_group_name_H-M 'P m m m'
_symmetry_Int_Tables_number 47
loop_
_symmetry_equiv_pos_as_xyz
'x,y,z'
'-x,-y,-z'
'-x,-y,z'
'x,y,-z'
'x,-y,-z'
'-x,y,z'
'-x,y,-z'
'x,-y,z'
loop_
_atom_site_label
_atom_site_type_symbol
_atom_site_fract_x
_atom_site_fract_y
_atom_site_fract_z
Mg1 Mg 0.000 0.000 0.000
W1 W 0.500 0.500 0.245
Se1 Se 0.000 0.000 0.500
# **E above lowest polymorph**: 561 meV per atom
# **Formation energy (no corrections)**: 0.746 eV per atom

Record 3
# Mg2WSe | Alexandria via LeMat-Bulk | PBE-GGA | relaxed
data_Mg2WSe
_chemical_formula_sum 'Mg4 W2 Se2'
_cell_length_a 3.706
_cell_length_b 4.536
_cell_length_c 8.773
_cell_angle_alpha 90.00
_cell_angle_beta 90.00
_cell_angle_gamma 90.00
_symmetry_space_group_name_H-M 'C m m m'
_symmetry_Int_Tables_number 65
_symmetry_space_group_name_Hall '-C 2 2'
loop_
_atom_site_label
_atom_site_type_symbol
_atom_site_fract_x
_atom_site_fract_y
_atom_site_fract_z
Mg1 Mg 0.000 0.000 0.243
W1 W 0.000 0.500 0.000
Se1 Se 0.000 0.500 0.500
# **Formation energy (no corrections)**: 0.155 eV per atom

M_tot for every record listed, in sequence, given in μB per atom: 0.000; 0.000; 0.000.